Record 1
VASP calculation (PBE) on ScAlCoTc after structural relaxation.

Geometry as POSCAR:
```
ScAlCoTc
1.0
-3.7389 -0.1814 2.1976
-3.6464 -1.2151 -2.0173
-1.8023 -3.8442 0.9032
Sc Tc Al Co
1 1 1 1
direct
0.5000 0.5000 0.5000
0.2500 0.2500 0.2500
0.0000 0.0000 0.0000
0.7500 0.7500 0.7500
```

- Space group: F-43m
- Polymorph energy (0 for the lowest one): 0.0 meV per atom

Record 2
VASP calculation (PBE) on PdPb3O5 after structural relaxation.

Geometry as POSCAR:
```
PdPb3O5
1.0
-5.6874 -0.8973 -0.7697
0.9809 -7.7926 1.8371
-0.9364 1.2064 5.6171
O Pd Pb
10 2 6
direct
0.5590 0.0759 0.4450
0.7511 0.3623 0.2482
0.7456 0.8193 0.2532
0.4410 0.5759 0.5550
0.2508 0.3412 0.2514
0.2544 0.3193 0.7468
0.7498 0.3440 0.7489
0.2489 0.8623 0.7518
0.2502 0.8440 0.2511
0.7492 0.8412 0.7486
0.5041 0.3243 0.4963
0.4959 0.8243 0.5037
0.9824 0.0040 0.4959
0.0067 0.7061 0.9940
0.4948 0.5039 0.9831
0.0176 0.5040 0.5041
0.5052 0.0039 0.0169
0.9933 0.2061 0.0060
```

- Space group: P2_1

Record 3
VASP calculation (PBE) on Gd6Al43W4 after structural relaxation.

Geometry as POSCAR:
```
Gd6Al43W4
1.0
-6.3713 -2.8914 8.5290
-4.0647 -0.2419 -10.2528
5.3561 -16.8902 -1.7249
Al Gd W
86 12 8
direct
0.6667 0.3333 0.8743
0.2363 0.3945 0.1640
0.7531 0.5061 0.0000
0.4939 0.2469 0.5000
0.7637 0.6055 0.6640
0.0000 0.7461 0.4695
0.0000 0.8395 0.6142
0.8526 0.4482 0.7500
0.7637 0.6055 0.8360
0.6667 0.3333 0.1257
0.3333 0.6667 0.3743
0.1582 0.7637 0.3360
0.3333 0.6667 0.1257
0.6055 0.8418 0.1640
0.8418 0.6055 0.1640
0.1582 0.3945 0.8360
0.3333 0.6667 0.8743
0.1582 0.7637 0.1640
0.1605 0.1605 0.8858
0.2539 0.0000 0.9695
0.4939 0.2469 0.0000
0.5518 0.1474 0.2500
0.7461 0.7461 0.9695
0.7461 0.0000 0.4695
0.5957 0.1474 0.7500
0.0000 0.1485 0.7500
0.2363 0.8418 0.8360
0.8418 0.2363 0.6640
0.2469 0.7531 0.0000
0.8395 0.0000 0.8858
0.7637 0.1582 0.1640
0.8526 0.4043 0.2500
0.8395 0.8395 0.1142
0.3333 0.6667 0.6257
0.7531 0.5061 0.5000
0.3945 0.1582 0.6640
0.0000 0.2539 0.5305
0.2469 0.7531 0.5000
0.2539 0.2539 0.0305
0.4482 0.8526 0.7500
0.3945 0.2363 0.1640
0.1605 0.1605 0.6142
0.7461 0.7461 0.5305
0.7531 0.2469 0.5000
0.2539 0.2539 0.4695
0.0000 0.2539 0.9695
0.6055 0.7637 0.8360
0.1582 0.3945 0.6640
0.2363 0.3945 0.3360
0.0000 0.8515 0.2500
0.8515 0.8515 0.7500
0.2363 0.8418 0.6640
0.1474 0.5957 0.7500
0.3945 0.1582 0.8360
0.0000 0.1605 0.3858
0.0000 0.1605 0.1142
0.2539 0.0000 0.5305
0.1474 0.5518 0.2500
0.5518 0.4043 0.7500
0.6667 0.3333 0.6257
0.4482 0.5957 0.2500
0.2469 0.4939 0.5000
0.1605 0.0000 0.1142
0.5061 0.7531 0.0000
0.7637 0.1582 0.3360
0.5061 0.7531 0.5000
0.0000 0.8395 0.8858
0.7461 0.0000 0.0305
0.8515 0.0000 0.2500
0.3945 0.2363 0.3360
0.6667 0.3333 0.3743
0.0000 0.7461 0.0305
0.8395 0.8395 0.3858
0.1605 0.0000 0.3858
0.1485 0.0000 0.7500
0.6055 0.7637 0.6640
0.8395 0.0000 0.6142
0.6055 0.8418 0.3360
0.2469 0.4939 0.0000
0.4043 0.8526 0.2500
0.5957 0.4482 0.2500
0.4043 0.5518 0.7500
0.8418 0.6055 0.3360
0.8418 0.2363 0.8360
0.1485 0.1485 0.2500
0.7531 0.2469 0.0000
0.0000 0.5312 0.9045
0.0000 0.4688 0.4045
0.4688 0.0000 0.4045
0.4688 0.0000 0.0955
0.5312 0.0000 0.5955
0.4688 0.4688 0.5955
0.5312 0.5312 0.4045
0.4688 0.4688 0.9045
0.0000 0.5312 0.5955
0.5312 0.0000 0.9045
0.5312 0.5312 0.0955
0.0000 0.4688 0.0955
0.2696 0.0000 0.2500
0.7304 0.0000 0.7500
0.7304 0.7304 0.2500
0.0000 0.2696 0.2500
0.2696 0.2696 0.7500
0.0000 0.0000 0.0000
0.0000 0.0000 0.5000
0.0000 0.7304 0.7500
```

- Space group: P6_3/mcm

Record 4
VASP calculation (PBE) on YErPO after structural relaxation.

Geometry as POSCAR:
```
YErPO
1.0
-0.3604 2.2910 3.6175
3.3415 -2.1196 1.6752
5.3157 5.8637 -3.1840
Y Er P O
2 2 2 2
direct
0.0000 0.5000 0.8960
0.5000 0.0000 0.1040
0.0000 0.0000 0.5000
0.5000 0.5000 0.5000
0.0000 0.5000 0.3064
0.5000 0.0000 0.6936
0.5000 0.5000 0.0000
0.0000 0.0000 0.0000
```

- Space group: P4/nmm
- Polymorph energy (0 for the lowest one): 106.3 meV per atom

Record 5
VASP calculation (PBE) on Ho2GaGe after structural relaxation.

Geometry as POSCAR:
```
Ho2GaGe
1.0
-3.0684 -2.4663 4.2315
2.2734 -3.2559 -0.2492
6.3659 4.1737 3.5443
Ho Ge Ga
4 2 2
direct
0.7940 0.7500 0.0722
0.2887 0.7500 0.5684
0.7113 0.2500 0.4316
0.2060 0.2500 0.9278
0.1323 0.2500 0.2911
0.8677 0.7500 0.7089
0.6289 0.2500 0.7909
0.3711 0.7500 0.2091
```

- Space group: P2_1/m

Record 6
VASP calculation (PBE) on Pr2GdZn2Cd4 after structural relaxation.

Geometry as POSCAR:
```
Pr2GdZn2Cd4
1.0
-3.0358 -2.3164 -2.6506
-3.2422 -2.6897 6.0640
-2.3068 6.3737 -2.9281
Cd Gd Zn Pr
4 1 2 2
direct
0.5000 0.2484 0.0012
0.5000 0.7518 0.7518
0.0000 0.0055 0.0055
0.5000 0.0012 0.2484
0.0000 0.4326 0.4326
0.5000 0.3334 0.6619
0.5000 0.6619 0.3334
0.0000 0.5681 0.9972
0.0000 0.9972 0.5681
```

- Energy of formation from the pure elements: -298 kJ/mol of formula units
- Space group: Amm2

Calculated total energy / eV per atom: -7.1620 -5.3222 -4.8210 -7.2664 -4.9875 -2.6000